(1)
A plane-wave DFT calculation with PBE was carried out for crystalline Ho2CoGe3Pt4 at its relaxed geometry.

The uncorrected energy is -62.01 eV/f.u. As for the space group: P-4m2, No. 115. Its calculated formation energy is -0.77 eV per atom.

a = 4.183 Å, b = 4.183 Å, c = 10.408 Å
α = 90.00°, β = 90.00°, γ = 90.00°
Positions (direct):
Pt 0.000 0.500 0.368
Pt 0.500 0.000 0.632
Pt 0.500 0.500 0.000
Pt 0.000 0.000 0.000
Ge 0.000 0.500 0.138
Ge 0.000 0.000 0.500
Ge 0.500 0.000 0.862
Ho 0.000 0.500 0.743
Ho 0.500 0.000 0.257
Co 0.500 0.500 0.500



(2)
A plane-wave DFT calculation with PBE was carried out for crystalline HoPuCoGe at its relaxed geometry.

The uncorrected energy is -31.68 eV/f.u. As for the space group: F-43m, No. 216. Its calculated formation energy is -0.26 eV per atom.

a = 4.898 Å, b = 4.898 Å, c = 4.898 Å
α = 60.00°, β = 60.00°, γ = 60.00°
Positions (direct):
Ho 0.000 0.000 0.000
Co 0.750 0.750 0.750
Ge 0.250 0.250 0.250
Pu 0.500 0.500 0.500



(3)
A plane-wave DFT calculation with PBE was carried out for crystalline HoCoGe3Rh at its relaxed geometry.

The uncorrected energy is -34.80 eV/f.u. As for the space group: Cmcm, No. 63. Its calculated formation energy is -0.32 eV per atom.

a = 5.718 Å, b = 6.306 Å, c = 7.252 Å
α = 115.77°, β = 90.00°, γ = 90.00°
Positions (direct):
Rh 0.250 0.385 0.771
Rh 0.750 0.615 0.229
Ge 0.000 0.283 0.000
Ge 0.000 0.717 0.000
Ge 0.500 0.283 0.000
Ge 0.500 0.717 0.000
Ge 0.250 0.209 0.418
Ge 0.750 0.791 0.582
Ho 0.250 0.815 0.630
Ho 0.750 0.185 0.370
Co 0.750 0.962 0.923
Co 0.250 0.038 0.077



(4)
A plane-wave DFT calculation with PBE was carried out for crystalline HoCoGe2Rh at its relaxed geometry.

The uncorrected energy is -31.89 eV/f.u. As for the space group: I-4m2, No. 119. Its calculated formation energy is -0.72 eV per atom.

a = 4.038 Å, b = 4.038 Å, c = 5.881 Å
α = 110.08°, β = 110.08°, γ = 90.00°
Positions (direct):
Ge 0.377 0.377 0.754
Ge 0.623 0.623 0.246
Co 0.750 0.250 0.500
Ho 0.000 0.000 0.000
Rh 0.250 0.750 0.500



(5)
A plane-wave DFT calculation with PBE was carried out for crystalline HoCoGe2Ru at its relaxed geometry.

The uncorrected energy is -33.27 eV/f.u. As for the space group: I-4m2, No. 119. Its calculated formation energy is -0.62 eV per atom.

a = 4.093 Å, b = 4.093 Å, c = 5.807 Å
α = 110.63°, β = 110.63°, γ = 90.00°
Positions (direct):
Ge 0.627 0.627 0.254
Ge 0.373 0.373 0.746
Co 0.750 0.250 0.500
Ru 0.250 0.750 0.500
Ho 0.000 0.000 0.000



(6)
A plane-wave DFT calculation with PBE was carried out for crystalline Ho2Co5Si2Ge at its relaxed geometry.

The uncorrected energy is -64.49 eV/f.u. The energy relative to the elements, uncorrected comes out at -0.43 eV/atom. As for the space group: P4/mbm, No. 127.

a = 3.286 Å, b = 9.320 Å, c = 9.320 Å
α = 90.00°, β = 90.00°, γ = 90.00°
Positions (direct):
Co 0.500 0.565 0.714
Co 0.500 0.286 0.565
Co 0.500 0.714 0.435
Co 0.500 0.000 0.500
Co 0.500 0.214 0.065
Co 0.500 0.435 0.286
Co 0.500 0.786 0.935
Co 0.500 0.935 0.214
Co 0.500 0.500 0.000
Co 0.500 0.065 0.786
Ho 0.000 0.678 0.178
Ho 0.000 0.322 0.822
Ho 0.000 0.822 0.678
Ho 0.000 0.178 0.322
Si 0.000 0.881 0.381
Si 0.000 0.619 0.881
Si 0.000 0.119 0.619
Si 0.000 0.381 0.119
Ge 0.000 0.000 0.000
Ge 0.000 0.500 0.500



(7)
A plane-wave DFT calculation with PBE was carried out for crystalline TbHoCoGe at its relaxed geometry.

The uncorrected energy is -22.52 eV/f.u. As for the space group: F-43m, No. 216. Its calculated formation energy is -0.40 eV per atom.

a = 4.910 Å, b = 4.910 Å, c = 4.910 Å
α = 60.00°, β = 60.00°, γ = 60.00°
Positions (direct):
Ho 0.750 0.750 0.750
Ge 0.000 0.000 0.000
Tb 0.250 0.250 0.250
Co 0.500 0.500 0.500



(8)
A plane-wave DFT calculation with PBE was carried out for crystalline TbHoCo2Ge2 at its relaxed geometry.

The uncorrected energy is -36.25 eV/f.u. As for the space group: P-3m1, No. 164. Its calculated formation energy is -0.60 eV per atom.

a = 4.180 Å, b = 4.180 Å, c = 7.171 Å
α = 90.00°, β = 90.00°, γ = 120.00°
Positions (direct):
Co 0.667 0.333 0.263
Co 0.333 0.667 0.737
Ge 0.333 0.667 0.257
Ge 0.667 0.333 0.743
Ho 0.000 0.000 0.500
Tb 0.000 0.000 0.000



> The lowest uncorrected energy belongs to which entry?

Ho2Co5Si2Ge



> Look up the uncorrected energy of the sixth one.

-64.49 eV/f.u.